w | Computed, not measured: a geometry-optimized Zn3FeCu structure at the GGA-PBE level of DFT.

Properties
Space group: Pm-3m
Size of the total moment in μB/f.u.: 3.1

a = 4.4821 Å, b = 4.4821 Å, c = 4.4821 Å
α = 90.00°, β = 90.00°, γ = 90.00°
Site moments in Bohr magnetons follow the coordinates.
Fractional positions:
Zn 0.0000 0.5000 0.0000  0.00
Zn 0.0000 0.0000 0.5000  0.00
Zn 0.5000 0.0000 0.0000  -0.01
Fe 0.5000 0.5000 0.5000  3.16
Cu 0.0000 0.0000 0.0000  -0.01

***

x | Computed, not measured: a geometry-optimized Zn3FeCu structure at the GGA-PBE level of DFT.

Properties
Space group: P2_1/m
Size of the total moment in μB/f.u.: 2.3

a = 4.2386 Å, b = 4.7327 Å, c = 7.0534 Å
α = 110.27°, β = 90.00°, γ = 90.00°
Site moments in Bohr magnetons follow the coordinates.
Fractional positions:
Zn 0.1955 0.0401 0.2652  0.00
Zn 0.1955 0.2564 0.6819  -0.03
Zn 0.1955 0.6587 0.4832  -0.01
Zn 0.6955 0.1652 0.8722  -0.03
Zn 0.6955 0.7628 0.0709  -0.01
Zn 0.6955 0.3815 0.2889  0.00
Fe 0.6955 0.5944 0.6877  2.34
Fe 0.1955 0.8272 0.8664  2.34
Cu 0.6955 0.9817 0.4768  0.03
Cu 0.1955 0.4399 0.0772  0.03

***

In order of decreasing stability: x, w.

***

w | Computed, not measured: a geometry-optimized ZnFeCu3 structure at the GGA-PBE level of DFT.

Properties
Space group: Pm-3m
Size of the total moment in μB/f.u.: 3.1

a = 4.4557 Å, b = 4.4557 Å, c = 4.4557 Å
α = 90.00°, β = 90.00°, γ = 90.00°
Site moments in Bohr magnetons follow the coordinates.
Fractional positions:
Zn 0.5000 0.5000 0.5000  0.05
Fe 0.0000 0.0000 0.0000  2.57
Cu 0.0000 0.5000 0.0000  0.15
Cu 0.0000 0.0000 0.5000  0.25
Cu 0.5000 0.0000 0.0000  0.07

***

x | Computed, not measured: a geometry-optimized ZnFeCu3 structure at the GGA-PBE level of DFT.

Properties
Space group: Pm-3m
Size of the total moment in μB/f.u.: 3.1

a = 4.3737 Å, b = 4.3737 Å, c = 4.3737 Å
α = 90.00°, β = 90.00°, γ = 90.00°
Site moments in Bohr magnetons follow the coordinates.
Fractional positions:
Zn 0.0000 0.0000 0.0000  -0.01
Fe 0.5000 0.5000 0.5000  3.23
Cu 0.0000 0.5000 0.0000  -0.02
Cu 0.0000 0.0000 0.5000  0.02
Cu 0.5000 0.0000 0.0000  -0.01

***

In order of decreasing stability: x, w.

***

w | Computed, not measured: a geometry-optimized Zr3Fe2Cu structure at the GGA-PBE level of DFT.

Properties
Space group: Cmmm
Size of the total moment in μB/f.u.: 0.0

a = 3.1617 Å, b = 4.5862 Å, c = 7.1977 Å
α = 108.58°, β = 90.00°, γ = 90.00°
Fractional positions:
Zr 0.5000 0.5000 0.0000
Zr 0.5000 0.8296 0.6593
Zr 0.5000 0.1704 0.3407
Fe 0.0000 0.3328 0.6656
Fe 0.0000 0.6672 0.3344
Cu 0.0000 0.0000 0.0000

***

x | Computed, not measured: a geometry-optimized Zr3Fe2Cu structure at the GGA-PBE level of DFT.

Properties
Space group: P4/mmm
Size of the total moment in μB/f.u.: 0.5

a = 3.1891 Å, b = 3.1891 Å, c = 9.7935 Å
α = 90.00°, β = 90.00°, γ = 90.00°
Site moments in Bohr magnetons follow the coordinates.
Fractional positions:
Zr 0.0000 0.0000 0.0000  -0.20
Zr 0.0000 0.0000 0.6772  -0.14
Zr 0.0000 0.0000 0.3228  -0.14
Fe 0.5000 0.5000 0.8363  0.62
Fe 0.5000 0.5000 0.1637  0.62
Cu 0.5000 0.5000 0.5000  -0.01

***

In order of decreasing stability: x, w.

***

w | Computed, not measured: a geometry-optimized Zr3FeCu structure at the GGA-PBE level of DFT.

Properties
Space group: C2/m
Size of the total moment in μB/f.u.: 0.0

a = 5.3436 Å, b = 5.3436 Å, c = 8.3616 Å
α = 65.26°, β = 65.26°, γ = 64.62°
Fractional positions:
Zr 0.3035 0.3035 0.8833
Zr 0.6965 0.6965 0.1167
Zr 0.0407 0.0407 0.7319
Zr 0.9593 0.9593 0.2681
Zr 0.7020 0.7020 0.7095
Zr 0.2980 0.2980 0.2905
Fe 0.2561 0.7439 0.0000
Fe 0.7439 0.2561 0.0000
Cu 0.7039 0.2961 0.5000
Cu 0.2961 0.7039 0.5000

***

x | Computed, not measured: a geometry-optimized Zr3FeCu structure at the GGA-PBE level of DFT.

Properties
Space group: Pm-3m
Size of the total moment in μB/f.u.: 0.0

a = 4.7843 Å, b = 4.7843 Å, c = 4.7843 Å
α = 90.00°, β = 90.00°, γ = 90.00°
Fractional positions:
Cu 0.5000 0.5000 0.5000
Zr 0.0000 0.5000 0.0000
Zr 0.0000 0.0000 0.5000
Zr 0.5000 0.0000 0.0000
Fe 0.0000 0.0000 0.0000

***

In order of decreasing stability: w, x.

***

w | Computed, not measured: a geometry-optimized Ga4Cu structure at the GGA-PBE level of DFT.

Properties
Space group: Cmcm
Size of the total moment in μB/f.u.: 0.0

a = 5.8247 Å, b = 4.2618 Å, c = 7.7209 Å
α = 90.00°, β = 67.84°, γ = 89.99°
Fractional positions:
Ga 0.4697 0.2500 0.6030
Ga 0.9273 0.2500 0.6030
Ga 0.1973 0.2499 0.1603
Ga 0.6424 0.2501 0.1603
Ga 0.8027 0.7501 0.8397
Ga 0.3576 0.7499 0.8397
Ga 0.0727 0.7500 0.3970
Ga 0.5303 0.7500 0.3970
Cu 0.0585 0.2500 0.8830
Cu 0.9415 0.7500 0.1170

***

x | Computed, not measured: a geometry-optimized Ga4Cu structure at the GGA-PBE level of DFT.

Properties
Space group: C2/c
Size of the total moment in μB/f.u.: 0.0

a = 5.1686 Å, b = 5.9038 Å, c = 6.9078 Å
α = 115.55°, β = 112.25°, γ = 89.38°
Fractional positions:
Ga 0.6733 0.9766 0.3438
Ga 0.1705 0.3672 0.3438
Ga 0.4116 0.5635 0.8161
Ga 0.9044 0.2525 0.8161
Ga 0.5884 0.4365 0.1839
Ga 0.0956 0.7475 0.1839
Ga 0.8295 0.6328 0.6562
Ga 0.3267 0.0234 0.6562
Cu 0.7501 0.0001 0.0001
Cu 0.2499 0.9999 0.9999

***

y | Computed, not measured: a geometry-optimized Ga4Cu structure at the GGA-PBE level of DFT.

Properties
Space group: Pm-3m
Size of the total moment in μB/f.u.: 0.0

a = 4.7109 Å, b = 4.7109 Å, c = 4.7109 Å
α = 90.00°, β = 90.00°, γ = 90.00°
Fractional positions:
Ga 0.0000 0.0000 0.0000
Ga 0.5000 0.0000 0.5000
Ga 0.0000 0.5000 0.5000
Ga 0.5000 0.5000 0.0000
Cu 0.5000 0.5000 0.5000

***

In order of decreasing stability: x, w, y.

***

w | Computed, not measured: a geometry-optimized Ga2Cu13 structure at the GGA-PBE level of DFT.

Properties
Space group: R-3m
Size of the total moment in μB/f.u.: 0.0

a = 6.5113 Å, b = 6.5113 Å, c = 7.1873 Å
α = 63.07°, β = 63.07°, γ = 60.00°
Fractional positions:
Ga 0.6326 0.6326 0.1021
Ga 0.3674 0.3674 0.8979
Cu 0.5000 0.5000 0.5000
Cu 0.9963 0.6138 0.7761
Cu 0.6138 0.6138 0.7761
Cu 0.6138 0.9963 0.7761
Cu 0.3862 0.0037 0.2239
Cu 0.0037 0.3862 0.2239
Cu 0.3862 0.3862 0.2239
Cu 0.1259 0.7501 0.3739
Cu 0.7501 0.7501 0.3739
Cu 0.7501 0.1259 0.3739
Cu 0.2499 0.8741 0.6261
Cu 0.8741 0.2499 0.6261
Cu 0.2499 0.2499 0.6261

***

x | Computed, not measured: a geometry-optimized Ga2Cu13 structure at the GGA-PBE level of DFT.

Properties
Space group: P-1
Size of the total moment in μB/f.u.: 0.0

a = 4.4399 Å, b = 6.3703 Å, c = 7.8261 Å
α = 122.74°, β = 95.80°, γ = 89.25°
Fractional positions:
Ga 0.9277 0.7483 0.6058
Ga 0.0723 0.2517 0.3942
Cu 0.6667 0.6658 0.9994
Cu 0.3333 0.3342 0.0006
Cu 0.0000 0.0000 0.0000
Cu 0.2693 0.0706 0.6030
Cu 0.7307 0.9294 0.3970
Cu 0.1368 0.5348 0.8017
Cu 0.8632 0.4652 0.1983
Cu 0.3940 0.6011 0.3997
Cu 0.6060 0.3989 0.6003
Cu 0.4661 0.8696 0.8039
Cu 0.5339 0.1304 0.1961
Cu 0.7976 0.2093 0.8053
Cu 0.2024 0.7907 0.1947

***

In order of decreasing stability: x, w.

***

w | Computed, not measured: a geometry-optimized Ga3Cu8 structure at the GGA-PBE level of DFT.

Properties
Space group: C2/m
Size of the total moment in μB/f.u.: 0.0

a = 3.7074 Å, b = 4.5463 Å, c = 9.3955 Å
α = 103.05°, β = 90.00°, γ = 114.06°
Fractional positions:
Ga 0.0000 0.0000 0.0000
Ga 0.9007 0.8013 0.3572
Ga 0.0993 0.1987 0.6428
Cu 0.7242 0.4484 0.0883
Cu 0.2758 0.5516 0.9117
Cu 0.5463 0.0925 0.8181
Cu 0.4537 0.9075 0.1819
Cu 0.8211 0.6421 0.7281
Cu 0.1789 0.3579 0.2719
Cu 0.6343 0.2685 0.4531
Cu 0.3657 0.7315 0.5469

***

x | Computed, not measured: a geometry-optimized Ga3Cu8 structure at the GGA-PBE level of DFT.

Properties
Space group: R-3
Size of the total moment in μB/f.u.: 0.0

a = 5.5508 Å, b = 5.5508 Å, c = 5.5508 Å
α = 95.78°, β = 95.78°, γ = 95.78°
Fractional positions:
Ga 0.5000 0.0000 0.5000
Ga 0.0000 0.5000 0.5000
Ga 0.5000 0.5000 0.0000
Cu 0.9512 0.3096 0.0782
Cu 0.3096 0.0782 0.9512
Cu 0.0782 0.9512 0.3096
Cu 0.3571 0.3571 0.3571
Cu 0.6429 0.6429 0.6429
Cu 0.9218 0.0488 0.6904
Cu 0.6904 0.9218 0.0488
Cu 0.0488 0.6904 0.9218

***

In order of decreasing stability: w, x.

***

w | Computed, not measured: a geometry-optimized GaCu6Ge structure at the GGA-PBE level of DFT.

Properties
Space group: C2/m
Size of the total moment in μB/f.u.: 0.0

a = 4.3392 Å, b = 4.3392 Å, c = 6.6482 Å
α = 76.54°, β = 76.54°, γ = 71.27°
Fractional positions:
Ga 0.0000 0.0000 0.0000
Cu 0.0607 0.5464 0.3020
Cu 0.5464 0.0607 0.3020
Cu 0.4536 0.9393 0.6980
Cu 0.9393 0.4536 0.6980
Cu 0.3630 0.3630 0.9275
Cu 0.6370 0.6370 0.0725
Ge 0.5000 0.5000 0.5000

***

x | Computed, not measured: a geometry-optimized GaCu6Ge structure at the GGA-PBE level of DFT.

Properties
Space group: P-6m2
Size of the total moment in μB/f.u.: 0.0

a = 4.1901 Å, b = 5.3056 Å, c = 5.3056 Å
α = 120.01°, β = 90.00°, γ = 90.00°
Fractional positions:
Ga 0.0000 0.0833 0.9167
Cu 0.0000 0.0791 0.4147
Cu 0.0000 0.5853 0.9209
Cu 0.0000 0.5854 0.4146
Cu 0.5000 0.4188 0.0844
Cu 0.5000 0.9156 0.5812
Cu 0.5000 0.9155 0.0845
Ge 0.5000 0.4167 0.5833

***

In order of decreasing stability: x, w.

***

w | Computed, not measured: a geometry-optimized Ga2CuGe2 structure at the GGA-PBE level of DFT.

Properties
Space group: P4/mbm
Size of the total moment in μB/f.u.: 0.0

a = 6.4426 Å, b = 6.4426 Å, c = 4.4984 Å
α = 90.00°, β = 90.00°, γ = 90.00°
Fractional positions:
Ge 0.3548 0.8548 0.0000
Ge 0.8548 0.6452 0.0000
Ge 0.6452 0.1452 0.0000
Ge 0.1452 0.3548 0.0000
Cu 0.0000 0.0000 0.0000
Cu 0.5000 0.5000 0.0000
Ga 0.1690 0.6690 0.5000
Ga 0.6690 0.8310 0.5000
Ga 0.8310 0.3310 0.5000
Ga 0.3310 0.1690 0.5000

***

x | Computed, not measured: a geometry-optimized Ga2CuGe2 structure at the GGA-PBE level of DFT.

Properties
Space group: P4/mbm
Size of the total moment in μB/f.u.: 0.0

a = 6.4920 Å, b = 6.4920 Å, c = 4.3377 Å
α = 90.00°, β = 90.00°, γ = 90.00°
Fractional positions:
Ge 0.1629 0.6629 0.5000
Ge 0.6629 0.8371 0.5000
Ge 0.8371 0.3371 0.5000
Ge 0.3371 0.1629 0.5000
Cu 0.0000 0.0000 0.0000
Cu 0.5000 0.5000 0.0000
Ga 0.3520 0.8520 0.0000
Ga 0.8520 0.6480 0.0000
Ga 0.6480 0.1480 0.0000
Ga 0.1480 0.3520 0.0000

***

In order of decreasing stability: w, x.

***

w | Computed, not measured: a geometry-optimized NaGaCuGe2 structure at the GGA-PBE level of DFT.

Properties
Space group: P4/mmm
Size of the total moment in μB/f.u.: 0.0

a = 4.6609 Å, b = 5.1645 Å, c = 4.6609 Å
α = 90.00°, β = 90.00°, γ = 90.00°
Fractional positions:
Na 0.0000 0.5000 0.0000
Ge 0.0000 0.0000 0.5000
Ge 0.5000 0.0000 0.0000
Cu 0.0000 0.0000 0.0000
Ga 0.5000 0.5000 0.5000

***

x | Computed, not measured: a geometry-optimized NaGaCuGe2 structure at the GGA-PBE level of DFT.

Properties
Space group: I-4m2
Size of the total moment in μB/f.u.: 0.0

a = 4.2005 Å, b = 4.2005 Å, c = 6.1690 Å
α = 109.90°, β = 109.90°, γ = 90.00°
Fractional positions:
Na 0.0000 0.0000 0.0000
Ga 0.7500 0.2500 0.5000
Cu 0.2500 0.7500 0.5000
Ge 0.6158 0.6158 0.2316
Ge 0.3842 0.3842 0.7684

***

In order of decreasing stability: x, w.

***

w | Computed, not measured: a geometry-optimized Zn2GaCuGe structure at the GGA-PBE level of DFT.

Properties
Space group: P4/mmm
Size of the total moment in μB/f.u.: 0.0

a = 4.6266 Å, b = 5.1671 Å, c = 4.6266 Å
α = 90.00°, β = 90.00°, γ = 90.00°
Fractional positions:
Ge 0.0000 0.5000 0.0000
Cu 0.5000 0.5000 0.5000
Zn 0.0000 0.0000 0.5000
Zn 0.5000 0.0000 0.0000
Ga 0.0000 0.0000 0.0000

***

x | Computed, not measured: a geometry-optimized Zn2GaCuGe structure at the GGA-PBE level of DFT.

Properties
Space group: P4/mmm
Size of the total moment in μB/f.u.: 0.0

a = 4.6252 Å, b = 4.5567 Å, c = 4.6252 Å
α = 90.00°, β = 90.00°, γ = 90.00°
Fractional positions:
Ge 0.5000 0.5000 0.5000
Cu 0.0000 0.0000 0.0000
Zn 0.0000 0.0000 0.5000
Zn 0.5000 0.0000 0.0000
Ga 0.0000 0.5000 0.0000

***

In order of decreasing stability: x, w.